1.
Below is an optimized crystal structure of Cs6KAu, with properties calculated at the PBE level.

a b c (Å): 11.842 14.090 9.207
angles (deg): 90.00 105.08 90.00
Space group C2/m (No. 12)
One atom of each set of equivalent atoms:
1 Cs 0.101 0.180 0.281 x8
2 Cs 0.219 0.500 0.082 x4
3 K 0.000 0.500 0.500 x2
4 Au 0.000 0.000 0.000 x2

Properties
The calculation puts the formation energy at -0.7 eV per formula unit.

2.
Below is an optimized crystal structure of Zr3Pa2TaN6, with properties calculated at the PBE level.

a b c (Å): 5.731 9.929 5.806
angles (deg): 90.00 109.15 90.00
Space group C2/m (No. 12)
One atom of each set of equivalent atoms:
1 Zr 0.000 0.000 0.000 x2
2 Zr 0.000 0.339 0.000 x4
3 Pa 0.000 0.166 0.500 x4
4 Ta 0.000 0.500 0.500 x2
5 N 0.239 0.500 0.244 x4
6 N 0.247 0.337 0.756 x8

Properties
The formation energy (no corrections) is -1531 meV per atom.

3.
Below is an optimized crystal structure of Sr4Bi2Pt, with properties calculated at the PBE level.

a b c (Å): 5.611 5.611 17.614
angles (deg): 90.00 90.00 90.00
Space group I4/mmm (No. 139)
One atom of each set of equivalent atoms:
1 Sr 0.000 0.000 0.177 x4
2 Sr 0.000 0.500 0.000 x4
3 Bi 0.000 0.000 0.368 x4
4 Pt 0.000 0.000 0.000 x2

Properties
The calculation puts the formation energy at -5.4 eV per formula unit.

What is the formula in the third record? Sr4Bi2Pt